This record from the Alexandria database describes crystalline SrNiOF2 at its relaxed geometry. The functional is PBE+U.

```
5
Lattice="-4.5661 0.2006 -0.3698 -0.0596 -4.2984 -1.5958 -0.4297 -1.6345 4.4188" Properties=species:S:1:pos:R:3 pbc="T T T"
F -0.0298 -2.1492 -0.7979
F -2.2830 0.1003 -0.1849
Sr 0.0000 0.0000 0.0000
Ni -2.5277 -2.8662 1.2266
O -0.2148 -0.8173 2.2094
```

Excess energy over the best structure of this formula in the dataset = 5.41 eV per formula unit
Electronic total energy = -0.2939 Ry/atom